No. 1
Entry from Alexandria: NaAgHg2 after structural relaxation (PBE).

Values from the calculation:
For the offset from the most stable computed form, the calculation gives 0.43 eV per formula unit. Its space group is No. 122. The formation energy from the elements comes out at -7 meV per atom.

Cell: 8.2960 8.2960 6.6083 Å, 51.12 51.12 90.00°
Fractional positions:
Ag 0.0000 0.0000 0.0000
Ag 0.7500 0.2500 0.5000
Na 0.5000 0.5000 0.0000
Na 0.2500 0.7500 0.5000
Hg 0.8750 0.9058 0.7500
Hg 0.6558 0.1250 0.2500
Hg 0.3750 0.3442 0.7500
Hg 0.0942 0.6250 0.2500

---

No. 2
Entry from Alexandria: Na8AgHg2 after structural relaxation (PBE).

Values from the calculation:
Its space group is No. 12. The formation energy from the elements comes out at -104 meV per atom.

Cell: 5.3342 7.2287 9.2834 Å, 108.81 106.70 90.00°
Fractional positions:
Hg 0.8164 0.3110 0.6327
Hg 0.1836 0.6890 0.3673
Na 0.0184 0.7729 0.0369
Na 0.3950 0.5648 0.7900
Na 0.9816 0.2271 0.9631
Na 0.1909 0.2572 0.3819
Na 0.6050 0.4352 0.2100
Na 0.3403 0.0630 0.6806
Na 0.8091 0.7428 0.6181
Na 0.6597 0.9370 0.3194
Ag 0.5000 0.0000 0.0000

---

No. 3
Entry from Alexandria: Na2AgHg6 after structural relaxation (PBE).

Values from the calculation:
For the offset from the most stable computed form, the calculation gives 0.00 eV per formula unit. Its space group is No. 12. The formation energy from the elements comes out at -126 meV per atom.

Cell: 5.0865 5.1584 10.7560 Å, 61.85 76.32 60.46°
Fractional positions:
Na 0.3312 0.6046 0.7330
Na 0.6688 0.3954 0.2670
Ag 0.0000 0.5000 0.5000
Hg 0.0019 0.8205 0.1758
Hg 0.6664 0.0789 0.5884
Hg 0.9981 0.1795 0.8242
Hg 0.3336 0.9211 0.4116
Hg 0.6659 0.7440 0.9243
Hg 0.3341 0.2560 0.0757

---

No. 4
Entry from Alexandria: Na6AgHg3 after structural relaxation (PBE).

Values from the calculation:
For the offset from the most stable computed form, the calculation gives 0.00 eV per formula unit. Its space group is No. 11. The formation energy from the elements comes out at -151 meV per atom.

Cell: 5.3163 8.9281 12.1131 Å, 113.49 90.00 90.00°
Fractional positions:
Na 0.7500 0.8474 0.8474
Na 0.7500 0.9124 0.1418
Na 0.7500 0.1447 0.7014
Na 0.2500 0.4783 0.0778
Na 0.7500 0.7518 0.5157
Na 0.7500 0.5217 0.9222
Na 0.2500 0.1526 0.1526
Na 0.2500 0.8553 0.2986
Na 0.7500 0.3350 0.3347
Na 0.2500 0.0876 0.8582
Na 0.2500 0.2482 0.4843
Na 0.2500 0.6650 0.6653
Hg 0.2500 0.3772 0.7670
Hg 0.2500 0.7652 0.9686
Hg 0.2500 0.5571 0.3781
Hg 0.7500 0.6228 0.2330
Hg 0.7500 0.2348 0.0314
Hg 0.7500 0.4429 0.6219
Ag 0.2500 0.9636 0.5712
Ag 0.7500 0.0364 0.4288

---

No. 5
Entry from Alexandria: NaAg2Hg2 after structural relaxation (PBE).

Values from the calculation:
For the offset from the most stable computed form, the calculation gives 0.11 eV per formula unit. Its space group is No. 139. The formation energy from the elements comes out at -37 meV per atom.

Cell: 4.0775 4.0775 7.6367 Å, 74.52 74.52 90.00°
Fractional positions:
Ag 0.2500 0.7500 0.5000
Ag 0.7500 0.2500 0.5000
Na 0.0000 0.0000 0.0000
Hg 0.3981 0.3981 0.2038
Hg 0.6019 0.6019 0.7962

---

No. 6
Entry from Alexandria: Na12AgHg2 after structural relaxation (PBE).

Values from the calculation:
Its space group is No. 125. The formation energy from the elements comes out at 53 meV per atom.

Cell: 6.5568 6.5568 24.5554 Å, 90.00 90.00 90.00°
Fractional positions:
Na 0.0000 0.0000 0.8068
Na 0.2500 0.7500 0.9199
Na 0.1816 0.3184 0.4344
Na 0.2500 0.2500 0.0801
Na 0.5000 0.5000 0.1932
Na 0.8184 0.6816 0.4344
Na 0.0000 0.0000 0.6794
Na 0.1816 0.6816 0.5656
Na 0.7500 0.7500 0.9199
Na 0.2500 0.2500 0.9199
Na 0.6816 0.8184 0.5656
Na 0.2500 0.7500 0.0801
Na 0.7500 0.2500 0.0801
Na 0.8184 0.3184 0.5656
Na 0.3184 0.8184 0.4344
Na 0.6816 0.1816 0.4344
Na 0.0000 0.0000 0.1932
Na 0.7500 0.7500 0.0801
Na 0.5000 0.5000 0.8068
Na 0.0000 0.0000 0.3206
Na 0.3184 0.1816 0.5656
Na 0.5000 0.5000 0.3206
Na 0.7500 0.2500 0.9199
Na 0.5000 0.5000 0.6794
Ag 0.0000 0.5000 0.0000
Ag 0.5000 0.0000 0.0000
Hg 0.5000 0.0000 0.7585
Hg 0.0000 0.5000 0.7585
Hg 0.5000 0.0000 0.2415
Hg 0.0000 0.5000 0.2415

---

No. 7
Entry from Alexandria: NaAg2Hg2 after structural relaxation (PBE).

Values from the calculation:
For the offset from the most stable computed form, the calculation gives 0.06 eV per formula unit. Its space group is No. 127. The formation energy from the elements comes out at -46 meV per atom.

Cell: 8.3708 8.3708 3.1660 Å, 90.00 90.00 90.00°
Fractional positions:
Ag 0.8761 0.6239 0.0000
Ag 0.6239 0.1239 0.0000
Ag 0.3761 0.8761 0.0000
Ag 0.1239 0.3761 0.0000
Hg 0.8260 0.3260 0.5000
Hg 0.6740 0.8260 0.5000
Hg 0.3260 0.1740 0.5000
Hg 0.1740 0.6740 0.5000
Na 0.0000 0.0000 0.0000
Na 0.5000 0.5000 0.0000

---

No. 8
Entry from Alexandria: NaAgHg2 after structural relaxation (PBE).

Values from the calculation:
For the offset from the most stable computed form, the calculation gives 0.01 eV per formula unit. Its space group is No. 59. The formation energy from the elements comes out at -112 meV per atom.

Cell: 5.0954 5.1068 6.8816 Å, 90.00 90.00 90.00°
Fractional positions:
Na 0.5000 0.7147 0.5000
Na 0.0000 0.2853 0.0000
Hg 0.0000 0.7800 0.7466
Hg 0.0000 0.7800 0.2534
Hg 0.5000 0.2200 0.2466
Hg 0.5000 0.2200 0.7534
Ag 0.0000 0.2785 0.5000
Ag 0.5000 0.7215 0.0000

---

- Which formula does entry 3 have?
  Na2AgHg6